Record 1
BaAs2SeBr after structural relaxation. Source: Alexandria, functional GGA-PBEsol.

Output
Symmetry ... No. 123
ΔE_f (raw) ... -0.3194 eV/atom
VASP energy ... -3.94 eV per atom

Unit cell a=5.0007 b=5.0007 c=5.7230 alpha=90.00 beta=90.00 gamma=90.00
With the nearest neighbours (Å) after each atom.
Positions (direct):
As (0.0000, 0.5000, 0.0000)  2 Se 2.50
As (0.5000, 0.0000, 0.0000)  2 Se 2.50
Se (0.0000, 0.0000, 0.0000)  4 As 2.50
Ba (0.5000, 0.5000, 0.5000)  4 Br 3.54, 8 As 3.80
Br (0.0000, 0.0000, 0.5000)  2 Se 2.86

***

Record 2
Li2CrH8Cl5O4 after structural relaxation. Source: Alexandria, functional GGA-PBEsol.

Output
Symmetry ... No. 15
VASP energy ... -4.78 eV per atom

Unit cell a=6.1640 b=8.1630 c=12.7642 alpha=93.78 beta=76.03 gamma=67.82
With the nearest neighbours (Å) after each atom.
Positions (direct):
Li (0.1600, 0.5121, 0.8879)  4 Cl 2.36-2.41
Li (0.5601, 0.9879, 0.6121)  4 Cl 2.36-2.41
Li (0.4399, 0.0121, 0.3879)  4 Cl 2.36-2.41
Li (0.8400, 0.4879, 0.1121)  4 Cl 2.36-2.41
Cr (0.0000, 0.0000, 0.0000)  4 O 1.98-2.00
Cr (0.0000, 0.5000, 0.5000)  4 O 1.98-2.00
H (0.7253, 0.6095, 0.3708)  1 O 1.00
H (0.3754, 0.7440, 0.0327)  1 O 1.01
H (0.2619, 0.6129, 0.3559)  1 O 0.98
H (0.5596, 0.6895, 0.4934)  1 O 1.01
H (0.7424, 0.8105, 0.0066)  1 O 1.01
H (0.2307, 0.8871, 0.1441)  1 O 0.98
H (0.1520, 0.7560, 0.4673)  1 O 1.01
H (0.7056, 0.8905, 0.1292)  1 O 1.00
H (0.2944, 0.1095, 0.8708)  1 O 1.00
H (0.8480, 0.2440, 0.5327)  1 O 1.01
H (0.7693, 0.1129, 0.8559)  1 O 0.98
H (0.2576, 0.1895, 0.9934)  1 O 1.01
H (0.4404, 0.3105, 0.5066)  1 O 1.01
H (0.7381, 0.3871, 0.6441)  1 O 0.98
H (0.6246, 0.2560, 0.9673)  1 O 1.01
H (0.2747, 0.3905, 0.6292)  1 O 1.00
Cl (0.7972, 0.7128, 0.6550)  1 Cr 2.28, 1 Li 2.36
Cl (0.7346, 0.5823, 0.9534)  2 H 1.96-2.05
Cl (0.2703, 0.9177, 0.5466)  2 H 1.96-2.05
Cl (0.5788, 0.7500, 0.2500)  2 H 2.15, 2 Li 2.41
Cl (0.1650, 0.7872, 0.8450)  1 Cr 2.28, 1 Li 2.36
Cl (0.8350, 0.2128, 0.1550)  1 Cr 2.28, 1 Li 2.36
Cl (0.4212, 0.2500, 0.7500)  2 H 2.15, 2 Li 2.41
Cl (0.7297, 0.0823, 0.4534)  2 H 1.96-2.05
Cl (0.2654, 0.4177, 0.0466)  2 H 1.96-2.05
Cl (0.2028, 0.2872, 0.3450)  1 Cr 2.28, 1 Li 2.36
O (0.7072, 0.5811, 0.4463)  2 H 1.00-1.01
O (0.1209, 0.6663, 0.4217)  2 H 0.98-1.01
O (0.2090, 0.8337, 0.0783)  2 H 0.98-1.01
O (0.7346, 0.9189, 0.0537)  2 H 1.00-1.01
O (0.2654, 0.0811, 0.9463)  2 H 1.00-1.01
O (0.7910, 0.1663, 0.9217)  2 H 0.98-1.01
O (0.8791, 0.3337, 0.5783)  2 H 0.98-1.01
O (0.2928, 0.4189, 0.5537)  2 H 1.00-1.01